Entry 1:
First-principles (PBE-GGA) data for a relaxed structure of LuPt3, as listed in the Alexandria database.

Cell: 4.0683 4.0683 5.0650 Å, 113.68 113.68 90.00°
Element x y z (fractional)
Pt: 0.2500 0.7500 0.5000
Lu: 0.0000 0.0000 0.0000
Pt: 0.5000 0.5000 0.0000
Pt: 0.7500 0.2500 0.5000

Values from the calculation:
The total energy is -0.2428 hartree per atom. The size of the total moment comes out at 0.000 μB per atom. As for the symmetry: I4/mmm.

=====

Entry 2:
First-principles (PBE-GGA) data for a relaxed structure of Lu3Pt, as listed in the Alexandria database.

Cell: 3.5573 3.4875 8.9688 Å, 90.00 90.00 90.00°
Element x y z (fractional)
Lu: 0.0000 0.5000 0.4707
Pt: 0.0000 0.0000 0.9876
Lu: 0.5000 0.5000 0.1288
Lu: 0.5000 0.0000 0.7463

Values from the calculation:
The total energy is -0.1963 hartree per atom. The size of the total moment comes out at 0.006 μB per atom. As for the symmetry: Pmm2.